# 1
VASP calculation (PBE) on a relaxed ZnCrRe2 crystal.

Cell: 4.2666 2.6263 5.1155 Å, 77.51 90.00 90.00°
Fractional positions:
Re 0.0000 0.9692 0.9931
Zn 0.0000 0.5444 0.5090
Cr 0.5000 0.7721 0.7424
Re 0.5000 0.2144 0.2555

## Properties
space group	Pm, No. 6
crystal system	monoclinic
D(E_F)	0.90	states/eV/atom
VASP energy	-8.733	eV per atom

***

# 2
VASP calculation (PBE) on a relaxed ScBiNO2 crystal.

Cell: 4.0505 4.0505 4.2390 Å, 90.00 90.00 90.00°
Site moments in Bohr magnetons follow the coordinates.
Fractional positions:
Bi 0.5000 0.5000 0.5000  -0.07
O 0.0000 0.5000 0.0000  0.13
N 0.0000 0.0000 0.5000  0.56
O 0.5000 0.0000 0.0000  0.13
Sc 0.0000 0.0000 0.0000  0.00

## Properties
space group	P4/mmm, No. 123
crystal system	tetragonal
D(E_F)	0.37	states/eV/atom
VASP energy	-6.754	eV per atom

***

# 3
VASP calculation (PBE) on a relaxed PaCdHg2 crystal.

Cell: 5.1291 5.1291 5.1291 Å, 60.00 60.00 60.00°
Site moments in Bohr magnetons follow the coordinates.
Fractional positions:
Pa 0.0000 0.0000 0.0000  0.83
Hg 0.7500 0.7500 0.7500  0.02
Hg 0.2500 0.2500 0.2500  0.02
Cd 0.5000 0.5000 0.5000  0.00

## Properties
space group	Fm-3m, No. 225
crystal system	cubic
distance to the lowest polymorph of the same formula	5.7	meV/atom
D(E_F)	1.25	states/eV/atom
VASP energy	-2.731	eV per atom